No. 1
First-principles (GGA-PBE) data for an optimized crystal structure of CuBi2Pt, as listed in the Alexandria database.

Summary:
**Total magnetization**: 0.00 μB per cell
**Total DFT energy (no corrections)**: -4.281 eV/atom
**Calculated formation energy**: 75 kJ/mol of formula units

Geometry as CIF:
```
data_CuBi2Pt
_chemical_formula_sum 'Cu4 Bi8 Pt4'
_cell_length_a 7.458
_cell_length_b 7.458
_cell_length_c 6.788
_cell_angle_alpha 90.00
_cell_angle_beta 90.00
_cell_angle_gamma 90.00
_space_group_name_H-M_alt 'I -4 2 d'
_space_group_IT_number 122
_space_group_name_Hall 'I -4 2bw'
loop_
_atom_site_label
_atom_site_type_symbol
_atom_site_fract_x
_atom_site_fract_y
_atom_site_fract_z
Cu1 Cu 0.000 0.000 0.000
Bi1 Bi 0.247 0.250 0.125
Pt1 Pt 0.000 0.000 0.500
```

***

No. 2
First-principles (GGA-PBE) data for an optimized crystal structure of SrLiGeAu2, as listed in the Alexandria database.

Summary:
**Total magnetization**: 0.00 μB per cell
**Total DFT energy (no corrections)**: -3.504 eV/atom
**Calculated formation energy**: -266 kJ/mol of formula units

Geometry as CIF:
```
data_SrLiGeAu2
_chemical_formula_sum 'Sr2 Li2 Ge2 Au4'
_cell_length_a 4.166
_cell_length_b 4.579
_cell_length_c 11.618
_cell_angle_alpha 90.00
_cell_angle_beta 90.00
_cell_angle_gamma 90.00
_space_group_name_H-M_alt 'I m m 2'
_space_group_IT_number 44
loop_
_space_group_symop_operation_xyz
'x,y,z'
'-x,-y,z'
'-x,y,z'
'x,-y,z'
'x+1/2,y+1/2,z+1/2'
'-x+1/2,-y+1/2,z+1/2'
'-x+1/2,y+1/2,z+1/2'
'x+1/2,-y+1/2,z+1/2'
loop_
_atom_site_label
_atom_site_type_symbol
_atom_site_fract_x
_atom_site_fract_y
_atom_site_fract_z
Sr1 Sr 0.000 0.000 0.000
Li1 Li 0.000 0.500 0.746
Ge1 Ge 0.000 0.000 0.619
Au1 Au 0.000 0.000 0.396
Au2 Au 0.000 0.500 0.247
```

***

No. 3
First-principles (GGA-PBE) data for an optimized crystal structure of NaPS2, as listed in the Alexandria database.

Summary:
**Total magnetization**: 0.00 μB per cell
**Total DFT energy (no corrections)**: -4.142 eV/atom
**Formation energy (no corrections)**: -396.1 meV per atom

Geometry as CIF:
```
data_NaPS2
_chemical_formula_sum 'Na2 P2 S4'
_cell_length_a 5.776
_cell_length_b 4.300
_cell_length_c 7.508
_cell_angle_alpha 90.00
_cell_angle_beta 90.13
_cell_angle_gamma 90.00
_space_group_name_H-M_alt 'P 1 2/m 1'
_space_group_IT_number 10
loop_
_space_group_symop_operation_xyz
'x,y,z'
'-x,-y,-z'
'-x,y,-z'
'x,-y,z'
loop_
_atom_site_label
_atom_site_type_symbol
_atom_site_fract_x
_atom_site_fract_y
_atom_site_fract_z
Na1 Na 0.000 0.000 0.000
Na2 Na 0.000 0.500 0.500
P1 P 0.407 0.000 0.272
S1 S 0.260 0.000 0.651
S2 S 0.312 0.500 0.211
```